# Zr2GaPt

Zr2GaPt after structural relaxation (PBE, the Open Quantum Materials Database).

Summary:
Its symmetry is No. 216. For the density, the calculation gives 9.870 Mg/m³. For the total energy, the calculation gives -6.904 eV/atom.

a b c (Å): 6.7017 6.7017 6.7017
angles (deg): 90.00 90.00 90.00
Last column: nearest neighbours and their distance in Å.
Fractional positions:
Zr 0.0000 0.0000 0.0000  4 Zr 2.90, 4 Pt 2.90
Zr 0.0000 0.5000 0.5000  4 Zr 2.90, 4 Pt 2.90
Zr 0.2500 0.2500 0.2500  4 Ga 2.90, 4 Zr 2.90
Zr 0.2500 0.7500 0.7500  4 Zr 2.90, 4 Ga 2.90
Zr 0.5000 0.0000 0.5000  4 Zr 2.90, 4 Pt 2.90
Zr 0.5000 0.5000 0.0000  4 Zr 2.90, 4 Pt 2.90
Zr 0.7500 0.2500 0.7500  4 Zr 2.90, 4 Ga 2.90
Zr 0.7500 0.7500 0.2500  4 Zr 2.90, 4 Ga 2.90
Ga 0.0000 0.0000 0.5000  4 Zr 2.90, 4 Pt 2.90
Ga 0.0000 0.5000 0.0000  4 Zr 2.90, 4 Pt 2.90
Ga 0.5000 0.0000 0.0000  4 Zr 2.90, 4 Pt 2.90
Ga 0.5000 0.5000 0.5000  4 Zr 2.90, 4 Pt 2.90
Pt 0.2500 0.2500 0.7500  4 Zr 2.90, 4 Ga 2.90
Pt 0.2500 0.7500 0.2500  4 Zr 2.90, 4 Ga 2.90
Pt 0.7500 0.2500 0.2500  4 Zr 2.90, 4 Ga 2.90
Pt 0.7500 0.7500 0.7500  4 Zr 2.90, 4 Ga 2.90